# GGA-PBE P2Pb3Se2, relaxed
# Crystal system   trigonal
# Density   7.20 g/cm³
data_P2Pb3Se2
_symmetry_space_group_name_H-M 'R -3 m'
_symmetry_Int_Tables_number 166
_symmetry_space_group_name_Hall '-R 3 2"'
_cell_length_a 7.0789
_cell_length_b 7.0789
_cell_length_c 13.4238
_cell_angle_alpha 90.00
_cell_angle_beta 90.00
_cell_angle_gamma 120.00
loop_
_atom_site_label
_atom_site_type_symbol
_atom_site_fract_x
_atom_site_fract_y
_atom_site_fract_z
P1 P 0.0000 0.0000 0.0000
P2 P 0.0000 0.0000 0.5000
Pb1 Pb 0.0000 0.5000 0.0000
Se1 Se 0.0000 0.0000 0.1766

=====

# GGA-PBE PPb4Se6, relaxed
# Crystal system   monoclinic
# Density   6.45 g/cm³
data_PPb4Se6
_symmetry_space_group_name_H-M 'C 1 c 1'
_symmetry_Int_Tables_number 9
_cell_length_a 16.3821
_cell_length_b 6.7270
_cell_length_c 14.3640
_cell_angle_alpha 90.00
_cell_angle_beta 119.82
_cell_angle_gamma 90.00
loop_
_symmetry_equiv_pos_as_xyz
'x,y,z'
'x,-y,z+1/2'
'x+1/2,y+1/2,z'
'x+1/2,-y+1/2,z+1/2'
loop_
_atom_site_label
_atom_site_type_symbol
_atom_site_fract_x
_atom_site_fract_y
_atom_site_fract_z
P1 P 0.0000 0.1829 0.0000
Pb1 Pb 0.0927 0.1726 0.7836
Pb2 Pb 0.2078 0.3563 0.1987
Pb3 Pb 0.2828 0.1418 0.5396
Pb4 Pb 0.4429 0.2091 0.8747
Se1 Se 0.1174 0.2364 0.3424
Se2 Se 0.2317 0.2740 0.0113
Se3 Se 0.2401 0.2142 0.7126
Se4 Se 0.4123 0.4599 0.0333
Se5 Se 0.4225 0.2662 0.3192
Se6 Se 0.4902 0.0216 0.5701

=====

Sequential final energy output: -3.943; -4.060 eV per atom